The following is a GGA-PBE calculation of a geometry-optimized NdHo3Pu2Te6 structure, from the Alexandria database.

```
data_NdHo3Pu2Te6
_cell_length_a 19.204
_cell_length_b 4.370
_cell_length_c 8.836
_cell_angle_alpha 90.00
_cell_angle_beta 103.82
_cell_angle_gamma 90.00
_space_group_name_H-M_alt 'C 1 2/m 1'
_space_group_IT_number 12
_space_group_name_Hall '-C 2y'
loop_
_atom_site_label
_atom_site_type_symbol
_atom_site_fract_x
_atom_site_fract_y
_atom_site_fract_z
Nd1 Nd 0.000 0.000 0.000
Ho1 Ho 0.000 0.000 0.500
Ho2 Ho 0.165 0.500 0.834
Pu1 Pu 0.166 0.500 0.333
Te1 Te 0.001 0.500 0.742
Te2 Te 0.165 0.000 0.587
Te3 Te 0.170 0.000 0.081
```

uncorrected formation energy: -1.25 eV per atom
D(E_F): 1.922 states/eV/atom
spin magnetization: 1.005 μB per atom

=====

The following is a GGA-PBE calculation of a geometry-optimized HfCr2BiMo structure, from the Alexandria database.

```
data_HfCr2BiMo
_cell_length_a 4.877
_cell_length_b 4.877
_cell_length_c 5.140
_cell_angle_alpha 90.00
_cell_angle_beta 90.00
_cell_angle_gamma 90.00
_space_group_name_H-M_alt 'P 4/m m m'
_space_group_IT_number 123
_space_group_name_Hall '-P 4 2'
loop_
_atom_site_label
_atom_site_type_symbol
_atom_site_fract_x
_atom_site_fract_y
_atom_site_fract_z
Hf1 Hf 0.000 0.000 0.000
Cr1 Cr 0.000 0.500 0.500
Bi1 Bi 0.500 0.500 0.500
Mo1 Mo 0.500 0.500 0.000
```

D(E_F): 0.788 states/eV/atom
spin magnetization: 1.355 μB per atom

=====

The following is a GGA-PBE calculation of a geometry-optimized Tb2CePm6Y structure, from the Alexandria database.

```
data_Tb2CePm6Y
_cell_length_a 11.348
_cell_length_b 7.002
_cell_length_c 8.887
_cell_angle_alpha 90.00
_cell_angle_beta 104.13
_cell_angle_gamma 90.00
_space_group_name_H-M_alt 'C 1 2/m 1'
_space_group_IT_number 12
_space_group_name_Hall '-C 2y'
loop_
_atom_site_label
_atom_site_type_symbol
_atom_site_fract_x
_atom_site_fract_y
_atom_site_fract_z
Tb1 Tb 0.089 0.000 0.165
Ce1 Ce 0.000 0.500 0.000
Pm1 Pm 0.124 0.500 0.416
Pm2 Pm 0.174 0.235 0.799
Y1 Y 0.000 0.000 0.500
```

D(E_F): 2.222 states/eV/atom
spin magnetization: 0.120 μB per atom

=====

The following is a GGA-PBE calculation of a geometry-optimized PuMg3Pb4 structure, from the Alexandria database.

```
data_PuMg3Pb4
_cell_length_a 10.758
_cell_length_b 7.318
_cell_length_c 5.423
_cell_angle_alpha 90.00
_cell_angle_beta 90.00
_cell_angle_gamma 90.00
_space_group_name_H-M_alt 'P m m a'
_space_group_IT_number 51
_space_group_name_Hall '-P 2a 2a'
loop_
_atom_site_label
_atom_site_type_symbol
_atom_site_fract_x
_atom_site_fract_y
_atom_site_fract_z
Pu1 Pu 0.000 0.000 0.000
Mg1 Mg 0.000 0.500 0.000
Mg2 Mg 0.250 0.000 0.455
Mg3 Mg 0.250 0.500 0.439
Pb1 Pb 0.000 0.262 0.500
Pb2 Pb 0.250 0.263 0.948
```

D(E_F): 1.463 states/eV/atom
spin magnetization: 0.704 μB per atom

=====

The following is a GGA-PBE calculation of a geometry-optimized CdTcP structure, from the Alexandria database.

```
data_CdTcP
_cell_length_a 3.9560
_cell_length_b 3.9560
_cell_length_c 3.8540
_cell_angle_alpha 90.00
_cell_angle_beta 90.00
_cell_angle_gamma 120.00
_space_group_name_H-M_alt 'P -6 m 2'
_space_group_IT_number 187
_space_group_name_Hall 'P -6 2'
loop_
_atom_site_label
_atom_site_type_symbol
_atom_site_fract_x
_atom_site_fract_y
_atom_site_fract_z
Cd1 Cd 0.0000 0.0000 0.0000
Tc1 Tc 0.6667 0.3333 0.5000
P1 P 0.3333 0.6667 0.5000
```

D(E_F): 0.579 states/eV/atom
relative energy among the computed polymorphs: 0.176 eV per atom
spin magnetization: 0.000 μB per atom

=====

The following is a GGA-PBE calculation of a geometry-optimized SrInPb2 structure, from the Alexandria database.

```
data_SrInPb2
_cell_length_a 4.182
_cell_length_b 4.182
_cell_length_c 7.321
_cell_angle_alpha 90.00
_cell_angle_beta 90.00
_cell_angle_gamma 90.00
_space_group_name_H-M_alt 'P 4/m m m'
_space_group_IT_number 123
_space_group_name_Hall '-P 4 2'
loop_
_atom_site_label
_atom_site_type_symbol
_atom_site_fract_x
_atom_site_fract_y
_atom_site_fract_z
Sr1 Sr 0.000 0.000 0.000
In1 In 0.000 0.000 0.500
Pb1 Pb 0.500 0.500 0.282
```

D(E_F): 0.872 states/eV/atom
spin magnetization: 0.000 μB per atom

=====

The following is a GGA-PBE calculation of a geometry-optimized SrPr2Ho structure, from the Alexandria database.

```
data_SrPr2Ho
_cell_length_a 3.7475
_cell_length_b 3.7475
_cell_length_c 37.3596
_cell_angle_alpha 90.00
_cell_angle_beta 90.00
_cell_angle_gamma 120.00
_space_group_name_H-M_alt 'R 3 m'
_space_group_IT_number 160
_space_group_name_Hall 'R 3 -2"'
loop_
_atom_site_label
_atom_site_type_symbol
_atom_site_fract_x
_atom_site_fract_y
_atom_site_fract_z
Sr1 Sr 0.0000 0.0000 0.0000
Pr1 Pr 0.0000 0.0000 0.5765
Pr2 Pr 0.0000 0.0000 0.7570
Ho1 Ho 0.0000 0.0000 0.1665
```

D(E_F): 1.289 states/eV/atom
relative energy among the computed polymorphs: 0.000 eV per atom
spin magnetization: 0.000 μB per atom

=====

The following is a GGA-PBE calculation of a geometry-optimized NaCa3Ac4Te8 structure, from the Alexandria database.

```
data_NaCa3Ac4Te8
_cell_length_a 9.2567
_cell_length_b 9.2567
_cell_length_c 22.8225
_cell_angle_alpha 90.00
_cell_angle_beta 90.00
_cell_angle_gamma 120.00
_space_group_name_H-M_alt 'R -3 m'
_space_group_IT_number 166
_space_group_name_Hall '-R 3 2"'
loop_
_atom_site_label
_atom_site_type_symbol
_atom_site_fract_x
_atom_site_fract_y
_atom_site_fract_z
Na1 Na 0.0000 0.0000 0.0000
Ca1 Ca 0.0000 0.5000 0.0000
Ac1 Ac 0.0000 0.0000 0.5000
Ac2 Ac 0.0000 0.5000 0.5000
Te1 Te 0.0000 0.0000 0.2559
Te2 Te 0.0014 0.5007 0.2551
```

uncorrected formation energy: -1.51 eV per atom
D(E_F): 0.322 states/eV/atom
spin magnetization: 0.000 μB per atom

=====

The following is a GGA-PBE calculation of a geometry-optimized PdPbNO2 structure, from the Alexandria database.

```
data_PdPbNO2
_cell_length_a 4.282
_cell_length_b 4.282
_cell_length_c 3.744
_cell_angle_alpha 90.00
_cell_angle_beta 90.00
_cell_angle_gamma 90.00
_space_group_name_H-M_alt 'P 4/m m m'
_space_group_IT_number 123
_space_group_name_Hall '-P 4 2'
loop_
_atom_site_label
_atom_site_type_symbol
_atom_site_fract_x
_atom_site_fract_y
_atom_site_fract_z
Pd1 Pd 0.000 0.000 0.000
Pb1 Pb 0.500 0.500 0.500
N1 N 0.000 0.000 0.500
O1 O 0.000 0.500 0.000
```

uncorrected formation energy: 0.20 eV per atom
D(E_F): 0.740 states/eV/atom
spin magnetization: 0.000 μB per atom

=====

The following is a GGA-PBE calculation of a geometry-optimized SmEr3Au2 structure, from the Alexandria database.

```
data_SmEr3Au2
_cell_length_a 4.948
_cell_length_b 8.917
_cell_length_c 7.136
_cell_angle_alpha 90.00
_cell_angle_beta 90.00
_cell_angle_gamma 90.00
_space_group_name_H-M_alt 'P m c 21'
_space_group_IT_number 26
_space_group_name_Hall 'P 2c -2'
loop_
_atom_site_label
_atom_site_type_symbol
_atom_site_fract_x
_atom_site_fract_y
_atom_site_fract_z
Sm1 Sm 0.000 0.074 0.000
Er1 Er 0.000 0.332 0.636
Er2 Er 0.500 0.171 0.338
Er3 Er 0.500 0.429 0.973
Au1 Au 0.000 0.353 0.234
Au2 Au 0.500 0.156 0.741
```

D(E_F): 1.053 states/eV/atom
relative energy among the computed polymorphs: 0.000 eV per atom
spin magnetization: 0.000 μB per atom

=====

The following is a GGA-PBE calculation of a geometry-optimized NaPa2MnN4 structure, from the Alexandria database.

```
data_NaPa2MnN4
_cell_length_a 5.691
_cell_length_b 5.691
_cell_length_c 6.228
_cell_angle_alpha 90.00
_cell_angle_beta 90.00
_cell_angle_gamma 90.00
_space_group_name_H-M_alt 'I 4/m m m'
_space_group_IT_number 139
_space_group_name_Hall '-I 4 2'
loop_
_atom_site_label
_atom_site_type_symbol
_atom_site_fract_x
_atom_site_fract_y
_atom_site_fract_z
Na1 Na 0.000 0.000 0.000
Pa1 Pa 0.000 0.500 0.250
Mn1 Mn 0.000 0.000 0.500
N1 N 0.234 0.234 0.500
```

uncorrected formation energy: -0.88 eV per atom
D(E_F): 0.370 states/eV/atom
spin magnetization: 0.444 μB per atom

=====

The following is a GGA-PBE calculation of a geometry-optimized Pr12Sm7Sc structure, from the Alexandria database.

```
data_Pr12Sm7Sc
_cell_length_a 15.3700
_cell_length_b 15.3700
_cell_length_c 10.1904
_cell_angle_alpha 90.00
_cell_angle_beta 90.00
_cell_angle_gamma 120.00
_space_group_name_H-M_alt 'R -3'
_space_group_IT_number 148
_space_group_name_Hall '-R 3'
loop_
_atom_site_label
_atom_site_type_symbol
_atom_site_fract_x
_atom_site_fract_y
_atom_site_fract_z
Pr1 Pr 0.0195 0.2474 0.0519
Pr2 Pr 0.0498 0.1815 0.7379
Sm1 Sm 0.0000 0.0000 0.0000
Sm2 Sm 0.0687 0.2561 0.4330
Sc1 Sc 0.0000 0.0000 0.5000
```

D(E_F): 1.439 states/eV/atom
relative energy among the computed polymorphs: 0.000 eV per atom
spin magnetization: 0.000 μB per atom

=====

The following is a GGA-PBE calculation of a geometry-optimized Be2Tl2SnO6 structure, from the Alexandria database.

```
data_Be2Tl2SnO6
_cell_length_a 5.1993
_cell_length_b 5.1993
_cell_length_c 6.8264
_cell_angle_alpha 90.00
_cell_angle_beta 90.00
_cell_angle_gamma 120.00
_space_group_name_H-M_alt 'P -3'
_space_group_IT_number 147
_space_group_name_Hall '-P 3'
loop_
_atom_site_label
_atom_site_type_symbol
_atom_site_fract_x
_atom_site_fract_y
_atom_site_fract_z
Be1 Be 0.3333 0.6667 0.3292
Tl1 Tl 0.3333 0.6667 0.8391
Sn1 Sn 0.0000 0.0000 0.5000
O1 O 0.0590 0.7080 0.3199
```

uncorrected formation energy: -1.48 eV per atom
D(E_F): 0.267 states/eV/atom
spin magnetization: 0.000 μB per atom

=====

The following is a GGA-PBE calculation of a geometry-optimized Sm2Ho8In structure, from the Alexandria database.

```
data_Sm2Ho8In
_cell_length_a 5.408
_cell_length_b 7.558
_cell_length_c 17.093
_cell_angle_alpha 90.00
_cell_angle_beta 90.00
_cell_angle_gamma 90.00
_space_group_name_H-M_alt 'I m m m'
_space_group_IT_number 71
_space_group_name_Hall '-I 2 2'
loop_
_atom_site_label
_atom_site_type_symbol
_atom_site_fract_x
_atom_site_fract_y
_atom_site_fract_z
Sm1 Sm 0.000 0.000 0.194
Ho1 Ho 0.000 0.240 0.000
Ho2 Ho 0.000 0.270 0.363
Ho3 Ho 0.000 0.500 0.179
In1 In 0.000 0.000 0.500
```

D(E_F): 1.228 states/eV/atom
relative energy among the computed polymorphs: 0.000 eV per atom
spin magnetization: 0.000 μB per atom

=====

The following is a GGA-PBE calculation of a geometry-optimized MgI2O6 structure, from the Alexandria database.

```
data_MgI2O6
_cell_length_a 8.934
_cell_length_b 10.625
_cell_length_c 5.787
_cell_angle_alpha 90.00
_cell_angle_beta 102.71
_cell_angle_gamma 90.00
_space_group_name_H-M_alt 'C 1 2/c 1'
_space_group_IT_number 15
_space_group_name_Hall '-C 2yc'
loop_
_atom_site_label
_atom_site_type_symbol
_atom_site_fract_x
_atom_site_fract_y
_atom_site_fract_z
Mg1 Mg 0.000 0.080 0.250
I1 I 0.183 0.377 0.203
O1 O 0.093 0.396 0.460
O2 O 0.122 0.072 0.619
O3 O 0.172 0.204 0.186
```

uncorrected formation energy: -0.83 eV per atom
D(E_F): 0.000 states/eV/atom
spin magnetization: 0.000 μB per atom

=====

The following is a GGA-PBE calculation of a geometry-optimized Ba2CaNi structure, from the Alexandria database.

```
data_Ba2CaNi
_cell_length_a 3.742
_cell_length_b 4.765
_cell_length_c 17.850
_cell_angle_alpha 90.00
_cell_angle_beta 90.00
_cell_angle_gamma 90.00
_space_group_name_H-M_alt 'I m m m'
_space_group_IT_number 71
_space_group_name_Hall '-I 2 2'
loop_
_atom_site_label
_atom_site_type_symbol
_atom_site_fract_x
_atom_site_fract_y
_atom_site_fract_z
Ba1 Ba 0.000 0.000 0.153
Ca1 Ca 0.000 0.500 0.000
Ni1 Ni 0.000 0.500 0.500
```

D(E_F): 0.937 states/eV/atom
relative energy among the computed polymorphs: 0.074 eV per atom
spin magnetization: 0.000 μB per atom

=====

The following is a GGA-PBE calculation of a geometry-optimized AlSi2Au structure, from the Alexandria database.

```
data_AlSi2Au
_cell_length_a 6.455
_cell_length_b 6.455
_cell_length_c 6.455
_cell_angle_alpha 90.00
_cell_angle_beta 90.00
_cell_angle_gamma 90.00
_space_group_name_H-M_alt 'F -4 3 m'
_space_group_IT_number 216
_space_group_name_Hall 'F -4 2 3'
loop_
_atom_site_label
_atom_site_type_symbol
_atom_site_fract_x
_atom_site_fract_y
_atom_site_fract_z
Al1 Al 0.000 0.000 0.000
Si1 Si 0.000 0.000 0.500
Si2 Si 0.250 0.250 0.750
Au1 Au 0.250 0.250 0.250
```

uncorrected formation energy: 0.31 eV per atom
D(E_F): 0.479 states/eV/atom
spin magnetization: 0.000 μB per atom

=====

The following is a GGA-PBE calculation of a geometry-optimized KGeTeI2 structure, from the Alexandria database.

```
data_KGeTeI2
_cell_length_a 6.266
_cell_length_b 6.266
_cell_length_c 6.335
_cell_angle_alpha 90.00
_cell_angle_beta 90.00
_cell_angle_gamma 90.00
_space_group_name_H-M_alt 'P 4/m m m'
_space_group_IT_number 123
_space_group_name_Hall '-P 4 2'
loop_
_atom_site_label
_atom_site_type_symbol
_atom_site_fract_x
_atom_site_fract_y
_atom_site_fract_z
K1 K 0.000 0.000 0.000
Ge1 Ge 0.500 0.500 0.500
Te1 Te 0.000 0.000 0.500
I1 I 0.000 0.500 0.000
```

uncorrected formation energy: 0.50 eV per atom
D(E_F): 1.010 states/eV/atom
relative energy among the computed polymorphs: 0.968 eV per atom
spin magnetization: 0.209 μB per atom

=====

The following is a GGA-PBE calculation of a geometry-optimized TbGd2Ti structure, from the Alexandria database.

```
data_TbGd2Ti
_cell_length_a 3.409
_cell_length_b 3.409
_cell_length_c 9.570
_cell_angle_alpha 90.00
_cell_angle_beta 90.00
_cell_angle_gamma 90.00
_space_group_name_H-M_alt 'P 4/m m m'
_space_group_IT_number 123
_space_group_name_Hall '-P 4 2'
loop_
_atom_site_label
_atom_site_type_symbol
_atom_site_fract_x
_atom_site_fract_y
_atom_site_fract_z
Tb1 Tb 0.000 0.000 0.000
Gd1 Gd 0.500 0.500 0.280
Ti1 Ti 0.000 0.000 0.500
```

D(E_F): 1.510 states/eV/atom
spin magnetization: 3.558 μB per atom

=====

The following is a GGA-PBE calculation of a geometry-optimized Y2HfCd2 structure, from the Alexandria database.

```
data_Y2HfCd2
_cell_length_a 8.331
_cell_length_b 8.331
_cell_length_c 3.769
_cell_angle_alpha 90.00
_cell_angle_beta 90.00
_cell_angle_gamma 90.00
_space_group_name_H-M_alt 'P 4/m b m'
_space_group_IT_number 127
_space_group_name_Hall '-P 4 2ab'
loop_
_atom_site_label
_atom_site_type_symbol
_atom_site_fract_x
_atom_site_fract_y
_atom_site_fract_z
Y1 Y 0.175 0.325 0.000
Hf1 Hf 0.000 0.000 0.500
Cd1 Cd 0.126 0.626 0.500
```

D(E_F): 1.177 states/eV/atom
relative energy among the computed polymorphs: 0.000 eV per atom
spin magnetization: 0.208 μB per atom

=====

Number 1: total DFT energy (no corrections) -6.751 eV per atom. Number 2: total DFT energy (no corrections) -7.001 eV per atom. Number 3: total DFT energy (no corrections) -4.774 eV per atom. Number 4: total DFT energy (no corrections) -4.312 eV per atom. Number 5: total DFT energy (no corrections) -5.593 eV per atom. Number 6: total DFT energy (no corrections) -3.197 eV per atom. Number 7: total DFT energy (no corrections) -3.866 eV per atom. Number 8: total DFT energy (no corrections) -4.566 eV per atom. Number 9: total DFT energy (no corrections) -5.225 eV per atom. Number 10: total DFT energy (no corrections) -4.797 eV per atom. Number 11: total DFT energy (no corrections) -8.724 eV per atom. Number 12: total DFT energy (no corrections) -4.695 eV per atom. Number 13: total DFT energy (no corrections) -5.659 eV per atom. Number 14: total DFT energy (no corrections) -4.431 eV per atom. Number 15: total DFT energy (no corrections) -4.658 eV per atom. Number 16: total DFT energy (no corrections) -2.778 eV per atom. Number 17: total DFT energy (no corrections) -4.161 eV per atom. Number 18: total DFT energy (no corrections) -1.894 eV per atom. Number 19: total DFT energy (no corrections) -10.000 eV per atom. Number 20: total DFT energy (no corrections) -4.950 eV per atom.